[1]
LiGe2CN after structural relaxation. Source: Alexandria via LeMat-Bulk, functional PBE.

Summary:
The formation energy without anion corrections is 1.08 eV/atom.

Lattice parameters (Å, degrees): 4.189 3.613 4.189 90.00 90.00 90.00
Element x y z (fractional)
N (0.000, 0.000, 0.000)
C (0.500, 0.500, 0.500)
Li (0.000, 0.500, 0.000)
Ge (0.000, 0.000, 0.500)
Ge (0.500, 0.000, 0.000)


[2]
La3PmSn2S after structural relaxation. Source: Alexandria via LeMat-Bulk, functional PBE.

Summary:
The formation energy without anion corrections is -0.95 eV/atom.

Lattice parameters (Å, degrees): 5.270 5.338 9.214 106.84 106.62 90.00
Element x y z (fractional)
Sn (0.367, 0.367, 0.734)
Sn (0.633, 0.633, 0.266)
La (0.000, 0.500, 0.000)
La (0.828, 0.828, 0.656)
La (0.172, 0.172, 0.344)
Pm (0.500, 0.000, 0.000)
S (0.000, 0.000, 0.000)